Record 1
Compound: P2WCl
Source: Alexandria via LeMat-Bulk
Functional: PBE
Structure: relaxed

Polymorph energy (0 for the lowest one), eV/f.u.: 2.241
Total magnetic moment, μB/f.u.: 0.00
D(E_F), states/eV/cell: 4.34
Space-group type: I-42d, No. 122
Formation energy from raw total energies, eV per formula unit: 1.72

a = 6.123 Å, b = 6.123 Å, c = 6.817 Å
α = 63.32°, β = 63.32°, γ = 90.00°
Fractional coordinates of all 8 atoms:
W1 0.000 0.000 0.000
W2 0.750 0.250 0.500
P1 0.699 0.125 0.250
P2 0.375 0.301 0.750
P3 0.051 0.625 0.250
P4 0.875 0.949 0.750
Cl1 0.500 0.500 0.000
Cl2 0.250 0.750 0.500

Record 2
Compound: Mg2TaAu
Source: Alexandria via LeMat-Bulk
Functional: PBE
Structure: relaxed

Polymorph energy (0 for the lowest one), eV/f.u.: 0.725
Total magnetic moment, μB/f.u.: 0.00
D(E_F), states/eV/cell: 3.14
Space-group type: Cm, No. 8
ΔH_f (0 K), eV per atom: 0.08

a = 5.209 Å, b = 5.209 Å, c = 5.304 Å
α = 78.96°, β = 78.96°, γ = 32.42°
Fractional coordinates of all 4 atoms:
Au1 0.744 0.744 0.722
Ta1 0.490 0.490 0.527
Mg1 0.252 0.252 0.237
Mg2 0.013 0.013 0.015

Record 3
Compound: Li5Zn4
Source: Alexandria via LeMat-Bulk
Functional: PBE
Structure: relaxed

Polymorph energy (0 for the lowest one), eV/f.u.: 0.478
Total magnetic moment, μB/f.u.: 0.00
D(E_F), states/eV/cell: 3.58
Space-group type: C2/m, No. 12
ΔH_f (0 K), eV per atom: -0.11

a = 4.548 Å, b = 4.520 Å, c = 8.843 Å
α = 77.42°, β = 75.10°, γ = 59.80°
Fractional coordinates of all 9 atoms:
Zn1 0.640 0.653 0.067
Zn2 0.360 0.347 0.933
Zn3 0.457 0.444 0.642
Zn4 0.543 0.556 0.358
Li1 0.857 0.866 0.419
Li2 0.000 0.000 0.000
Li3 0.143 0.134 0.581
Li4 0.255 0.257 0.233
Li5 0.745 0.743 0.767